First-principles (PBE-GGA) data for a relaxed Ba3Br2O2 crystal, as listed in the Alexandria database.

Computed properties:
excess energy over the best structure of this formula in the dataset	0.000	eV per atom
SG	No. 12
total DFT energy (no corrections)	-0.377	Ry per atom

abc: 4.3788 8.0355 7.9618
angles: 121.57 105.96 90.00
Sites, in units of the cell vectors:
Ba: 0.2135 0.6529 0.4271
Ba: 0.7865 0.3471 0.5729
Ba: 0.0000 0.0000 0.0000
Br: 0.4176 0.1944 0.8351
Br: 0.5824 0.8056 0.1649
O: 0.1863 0.3109 0.3725
O: 0.8137 0.6891 0.6275